*i*
# CsCd3Hg

A PBEsol-optimized structure of CsCd3Hg (meta-GGA SCAN, Alexandria via LeMat-Bulk).

total magnetization: 0.00 μB/cell

Cell and atoms, written as CIF:
```
data_CsCd3Hg
_cell_length_a 5.514
_cell_length_b 5.514
_cell_length_c 5.514
_cell_angle_alpha 90.00
_cell_angle_beta 90.00
_cell_angle_gamma 90.00
_space_group_name_H-M_alt 'P m -3 m'
_space_group_IT_number 221
_space_group_name_Hall '-P 4 2 3'
loop_
_atom_site_label
_atom_site_type_symbol
_atom_site_fract_x
_atom_site_fract_y
_atom_site_fract_z
Cs1 Cs 0.000 0.000 0.000
Cd1 Cd 0.000 0.500 0.500
Hg1 Hg 0.500 0.500 0.500
```

*ii*
# CsCd3Hg

A PBEsol-optimized structure of CsCd3Hg (meta-GGA SCAN, Alexandria via LeMat-Bulk).

total magnetization: 0.00 μB/cell

Cell and atoms, written as CIF:
```
data_CsCd3Hg
_cell_length_a 6.835
_cell_length_b 6.835
_cell_length_c 6.835
_cell_angle_alpha 90.00
_cell_angle_beta 90.00
_cell_angle_gamma 90.00
_space_group_name_H-M_alt 'P m -3 m'
_space_group_IT_number 221
_space_group_name_Hall '-P 4 2 3'
loop_
_atom_site_label
_atom_site_type_symbol
_atom_site_fract_x
_atom_site_fract_y
_atom_site_fract_z
Cs1 Cs 0.000 0.000 0.000
Cd1 Cd 0.000 0.000 0.500
Hg1 Hg 0.500 0.500 0.500
```

Q: Which of them is the least stable? A: *ii*.

*i*
# Cs2CdI4

A PBEsol-optimized structure of Cs2CdI4 (meta-GGA SCAN, Alexandria via LeMat-Bulk).

total magnetization: 0.00 μB/cell

Cell and atoms, written as CIF:
```
data_Cs2CdI4
_cell_length_a 7.835
_cell_length_b 8.253
_cell_length_c 10.857
_cell_angle_alpha 90.00
_cell_angle_beta 110.03
_cell_angle_gamma 90.00
_space_group_name_H-M_alt 'P 1 21/m 1'
_space_group_IT_number 11
_space_group_name_Hall '-P 2yb'
loop_
_atom_site_label
_atom_site_type_symbol
_atom_site_fract_x
_atom_site_fract_y
_atom_site_fract_z
Cs1 Cs 0.197 0.250 0.037
Cs2 Cs 0.295 0.250 0.588
Cd1 Cd 0.191 0.750 0.780
I1 I 0.041 0.515 0.284
I2 I 0.361 0.750 0.053
I3 I 0.423 0.750 0.638
```

*ii*
# Cs2CdI4

A PBEsol-optimized structure of Cs2CdI4 (meta-GGA SCAN, Alexandria via LeMat-Bulk).

total magnetization: 0.00 μB/cell

Cell and atoms, written as CIF:
```
data_Cs2CdI4
_cell_length_a 10.775
_cell_length_b 8.319
_cell_length_c 14.911
_cell_angle_alpha 90.00
_cell_angle_beta 90.00
_cell_angle_gamma 90.00
_space_group_name_H-M_alt 'P n m a'
_space_group_IT_number 62
_space_group_name_Hall '-P 2ac 2n'
loop_
_atom_site_label
_atom_site_type_symbol
_atom_site_fract_x
_atom_site_fract_y
_atom_site_fract_z
Cs1 Cs 0.023 0.250 0.166
Cs2 Cs 0.112 0.750 0.429
Cd1 Cd 0.223 0.750 0.075
I1 I 0.032 0.250 0.907
I2 I 0.168 0.516 0.654
I3 I 0.184 0.250 0.401
```

Q: Which of them is the least stable? A: *ii*.